The following is a DFT calculation (PBE) of a relaxed LiS2BrN crystal.

The structure in POSCAR format:
```
LiS2BrN
1.0
5.0584 0.0000 0.0000
0.0000 5.0584 0.0000
0.0000 0.0000 3.8298
Br S Li N
1 2 1 1
Cartesian
0.0000 0.0000 0.0000 Br
2.5292 0.0000 0.0000 S
0.0000 2.5292 0.0000 S
2.5292 2.5292 1.9149 Li
0.0000 0.0000 1.9149 N
```

Calculated values
**V**: 98.0 Å³/cell
**Crystal system**: tetragonal
**ΔE_f (raw)**: 1189 meV per atom